Entry from Alexandria: a geometry-optimized CaOs2Rh structure (PBE).

SG: P4/mmm (123)
DFT formation energy: 0.512 eV/atom
distance to the lowest polymorph of the same formula: 1.181 eV per formula unit

Unit cell a=4.541 b=3.802 c=3.802 alpha=90.00 beta=90.00 gamma=90.00
Fractional coordinates of all 4 atoms:
Rh 0.500 0.500 0.000
Ca 0.500 0.000 0.500
Os 0.000 0.000 0.000
Os 0.000 0.500 0.500

***

Entry from Alexandria: a geometry-optimized UZnRu structure (PBE).

SG: Immm (71)
DFT formation energy: -0.183 eV/atom

Unit cell a=4.301 b=4.996 c=6.122 alpha=114.08 beta=110.56 gamma=90.00
Fractional coordinates of all 6 atoms:
U 0.810 0.810 0.620
U 0.190 0.190 0.380
Zn 0.500 0.746 0.000
Zn 0.500 0.254 0.000
Ru 0.132 0.632 0.264
Ru 0.868 0.368 0.736

***

Entry from Alexandria: a geometry-optimized CaRe2Pt structure (PBE).

SG: Fm-3m (225)
DFT formation energy: 0.939 eV/atom
distance to the lowest polymorph of the same formula: 3.398 eV per formula unit

Unit cell a=4.567 b=4.567 c=4.567 alpha=60.00 beta=60.00 gamma=60.00
Fractional coordinates of all 4 atoms:
Re 0.250 0.250 0.250
Re 0.750 0.750 0.750
Ca 0.000 0.000 0.000
Pt 0.500 0.500 0.500

***

Entry from Alexandria: a geometry-optimized CaScRe2O8 structure (PBE).

SG: P-3m1 (164)
formation energy from raw total energies: -2.023 eV per atom

Unit cell a=5.848 b=5.848 c=6.511 alpha=90.00 beta=90.00 gamma=120.00
Fractional coordinates of all 12 atoms:
Ca 0.000 0.000 0.000
Sc 0.000 0.000 0.500
Re 0.667 0.333 0.211
Re 0.333 0.667 0.789
O 0.333 0.667 0.062
O 0.317 0.159 0.290
O 0.841 0.158 0.290
O 0.667 0.333 0.938
O 0.159 0.842 0.710
O 0.683 0.841 0.710
O 0.158 0.317 0.710
O 0.842 0.683 0.290

***

Entry from Alexandria: a geometry-optimized SrBe2Cl structure (PBE).

SG: R-3m (166)
distance to the lowest polymorph of the same formula: 3.122 eV per formula unit
formation energy from raw total energies: 0.618 eV per atom

Unit cell a=8.283 b=8.283 c=8.283 alpha=25.62 beta=25.62 gamma=25.62
Fractional coordinates of all 4 atoms:
Sr 0.750 0.750 0.750
Be 0.985 0.985 0.985
Be 0.515 0.515 0.515
Cl 0.250 0.250 0.250

***

Entry from Alexandria: a geometry-optimized CaSmCo structure (PBE).

SG: Imm2 (44)
DFT formation energy: 0.070 eV/atom
distance to the lowest polymorph of the same formula: 0.395 eV per formula unit

Unit cell a=3.851 b=6.974 c=7.385 alpha=118.16 beta=105.12 gamma=90.00
Fractional coordinates of all 6 atoms:
Ca 0.675 0.599 0.469
Ca 0.135 0.059 0.389
Sm 0.405 0.567 0.929
Sm 0.405 0.091 0.929
Co 0.811 0.236 0.741
Co 0.000 0.423 0.118

***

Entry from Alexandria: a geometry-optimized Zr2WC structure (PBE).

SG: R-3m (166)
DFT formation energy: -0.126 eV/atom

Unit cell a=7.697 b=7.697 c=7.697 alpha=24.00 beta=24.00 gamma=24.00
Fractional coordinates of all 4 atoms:
C 0.250 0.250 0.250
Zr 0.977 0.977 0.977
Zr 0.523 0.523 0.523
W 0.750 0.750 0.750

***

Entry from Alexandria: a geometry-optimized Sm2SiGe3Pt4 structure (PBE).

SG: P-4m2 (115)
formation energy from raw total energies: -0.957 eV per atom

Unit cell a=4.350 b=4.350 c=9.947 alpha=90.00 beta=90.00 gamma=90.00
Fractional coordinates of all 10 atoms:
Sm 0.500 0.000 0.254
Sm 0.000 0.500 0.746
Si 0.500 0.500 0.500
Ge 0.000 0.000 0.500
Ge 0.500 0.000 0.867
Ge 0.000 0.500 0.133
Pt 0.500 0.500 0.000
Pt 0.000 0.000 0.000
Pt 0.500 0.000 0.618
Pt 0.000 0.500 0.382